A) CuHAu | PBE-GGA | relaxed

Calculated values
The value obtained for the spin magnetization is 0.00 μB per cell. The space-group type is I4mm, No. 107. For the mass density, the calculation gives 10830 kg/m3. As for the calculated volume: 40.1 Å³/cell. The calculation puts the density of states at the Fermi level at 0.8 states/eV/f.u.

Unit cell a=3.963 b=3.963 c=3.963 alpha=125.12 beta=125.12 gamma=81.35
Fractional coordinates of all 3 atoms:
Cu 0.000 0.000 0.000
H 0.730 0.730 0.000
Au 0.443 0.443 0.000



B) CuHAu | PBE-GGA | relaxed

Calculated values
The value obtained for the spin magnetization is 0.00 μB per cell. The space-group type is P-1, No. 2. For the mass density, the calculation gives 12353 kg/m3. As for the calculated volume: 70.3 Å³/cell. The calculation puts the density of states at the Fermi level at 0.9 states/eV/f.u.

Unit cell a=2.923 b=5.210 c=5.282 alpha=67.64 beta=74.11 gamma=74.41
Fractional coordinates of all 6 atoms:
Cu 0.158 0.456 0.225
Cu 0.842 0.544 0.775
H 0.366 0.333 0.933
H 0.634 0.667 0.067
Au 0.403 0.877 0.326
Au 0.597 0.123 0.674



C) CuHAu | PBE-GGA | relaxed

Calculated values
The value obtained for the spin magnetization is 0.00 μB per cell. The space-group type is P3m1, No. 156. For the mass density, the calculation gives 12104 kg/m3. As for the calculated volume: 35.9 Å³/cell. The calculation puts the density of states at the Fermi level at 0.6 states/eV/f.u.

Unit cell a=2.805 b=2.805 c=5.265 alpha=90.00 beta=90.00 gamma=120.00
Fractional coordinates of all 3 atoms:
Cu 0.000 0.000 0.000
H 0.667 0.333 0.104
Au 0.333 0.667 0.553



B) wins, 14 meV/atom ahead of the next structure.



A) Cu2HAu2 | PBE-GGA | relaxed

Calculated values
The value obtained for the spin magnetization is 0.00 μB per cell. The space-group type is P4/mbm, No. 127. For the mass density, the calculation gives 12778 kg/m3. As for the calculated volume: 135.7 Å³/cell. The calculation puts the density of states at the Fermi level at 1.4 states/eV/f.u.

Unit cell a=5.270 b=5.270 c=4.885 alpha=90.00 beta=90.00 gamma=90.00
Fractional coordinates of all 10 atoms:
Cu 0.179 0.321 0.000
Cu 0.321 0.821 0.000
Cu 0.679 0.179 0.000
Cu 0.821 0.679 0.000
H 0.000 0.000 0.000
H 0.500 0.500 0.000
Au 0.182 0.682 0.500
Au 0.318 0.182 0.500
Au 0.682 0.818 0.500
Au 0.818 0.318 0.500



B) Cu2HAu2 | PBE-GGA | relaxed

Calculated values
The value obtained for the spin magnetization is 0.00 μB per cell. The space-group type is P4/mbm, No. 127. For the mass density, the calculation gives 12571 kg/m3. As for the calculated volume: 137.9 Å³/cell. The calculation puts the density of states at the Fermi level at 1.2 states/eV/f.u.

Unit cell a=5.565 b=5.565 c=4.454 alpha=90.00 beta=90.00 gamma=90.00
Fractional coordinates of all 10 atoms:
Cu 0.154 0.346 0.000
Cu 0.346 0.846 0.000
Cu 0.654 0.154 0.000
Cu 0.846 0.654 0.000
H 0.000 0.000 0.500
H 0.500 0.500 0.500
Au 0.174 0.674 0.500
Au 0.326 0.174 0.500
Au 0.674 0.826 0.500
Au 0.826 0.326 0.500



A) wins, 40 meV/atom ahead of the next structure.